An optimized crystal structure of AlTlPt, computed with GGA-PBE.

Cell and atoms, written as POSCAR:
```
AlTlPt
1.0
4.475 0.000 0.000
2.237 3.875 0.000
2.237 1.292 3.653
Tl Al Pt
1 1 1
Direct
0.000 0.000 0.000 Tl
0.500 0.500 0.500 Al
0.750 0.750 0.750 Pt
```

Results
- Final energy: -4.34 eV/atom

---

An optimized crystal structure of CsHoCu2F8, computed with GGA-PBE.

Cell and atoms, written as POSCAR:
```
CsHoCu2F8
1.0
5.712 0.000 0.000
2.856 4.946 0.000
2.856 1.649 7.793
Cs Ho Cu F
1 1 2 8
Direct
0.500 0.500 0.500 Cs
0.000 0.000 0.000 Ho
0.257 0.257 0.230 Cu
0.743 0.743 0.770 Cu
0.179 0.179 0.463 F
0.625 0.253 0.158 F
0.821 0.821 0.537 F
0.964 0.625 0.158 F
0.036 0.375 0.842 F
0.253 0.964 0.158 F
0.747 0.036 0.842 F
0.375 0.747 0.842 F
```

Results
- Final energy: -4.87 eV/atom

---

An optimized crystal structure of SrInSn2Au, computed with GGA-PBE.

Cell and atoms, written as POSCAR:
```
SrInSn2Au
1.0
6.125 0.000 0.000
0.000 5.619 0.000
0.000 0.000 6.125
Sr Au Sn In
1 1 2 1
Direct
0.000 0.000 0.000 Sr
0.000 0.500 0.000 Au
0.000 0.000 0.500 Sn
0.500 0.000 0.000 Sn
0.500 0.500 0.500 In
```

Results
- Final energy: -2.47 eV/atom

---

An optimized crystal structure of TbSm2Pt, computed with GGA-PBE.

Cell and atoms, written as POSCAR:
```
TbSm2Pt
1.0
3.845 0.000 0.000
1.923 3.330 0.000
1.923 1.110 9.630
Tb Sm Pt
1 2 1
Direct
0.500 0.500 0.500 Tb
0.270 0.270 0.189 Sm
0.730 0.730 0.811 Sm
0.000 0.000 0.000 Pt
```

Results
- Final energy: -5.47 eV/atom

---

An optimized crystal structure of ReAsO2F, computed with GGA-PBE.

Cell and atoms, written as POSCAR:
```
ReAsO2F
1.0
-1.902 -0.007 -3.286
-3.002 -1.542 1.741
-1.710 4.437 0.981
Re As O F
1 1 2 1
Direct
0.000 0.000 0.000 Re
0.500 0.500 0.500 As
0.000 0.500 0.000 O
0.500 0.000 0.000 O
0.000 0.000 0.500 F
```

Results
- Final energy: -6.31 eV/atom

---

An optimized crystal structure of BaPm2Te4, computed with GGA-PBE.

Cell and atoms, written as POSCAR:
```
BaPm2Te4
1.0
4.580 0.000 0.000
0.000 13.926 0.000
0.000 0.000 16.615
Ba Pm Te
4 8 16
Direct
0.250 0.760 0.332 Ba
0.750 0.240 0.668 Ba
0.250 0.260 0.168 Ba
0.750 0.740 0.832 Ba
0.750 0.064 0.892 Pm
0.250 0.936 0.108 Pm
0.750 0.564 0.608 Pm
0.250 0.436 0.392 Pm
0.250 0.420 0.903 Pm
0.750 0.580 0.097 Pm
0.250 0.920 0.597 Pm
0.750 0.080 0.403 Pm
0.750 0.089 0.079 Te
0.250 0.911 0.921 Te
0.750 0.589 0.421 Te
0.250 0.411 0.579 Te
0.750 0.975 0.717 Te
0.250 0.025 0.283 Te
0.750 0.475 0.783 Te
0.250 0.525 0.217 Te
0.750 0.369 0.028 Te
0.250 0.631 0.972 Te
0.750 0.869 0.472 Te
0.250 0.131 0.528 Te
0.250 0.207 0.831 Te
0.750 0.793 0.169 Te
0.250 0.707 0.669 Te
0.750 0.293 0.331 Te
```

Results
- Final energy: -4.98 eV/atom

---

An optimized crystal structure of Mg3Si4, computed with GGA-PBE.

Cell and atoms, written as POSCAR:
```
Mg3Si4
1.0
5.404 0.501 -0.413
-1.452 8.102 0.307
-1.990 -4.105 6.016
Mg Si
6 8
Direct
0.489 0.796 0.325 Mg
0.112 0.974 0.060 Mg
0.076 0.703 0.578 Mg
0.467 0.384 0.231 Mg
0.823 0.548 0.052 Mg
0.590 0.068 0.818 Mg
0.638 0.710 0.673 Si
0.710 0.253 0.623 Si
0.038 0.933 0.385 Si
0.969 0.323 0.253 Si
0.206 0.452 0.875 Si
0.084 0.108 0.763 Si
0.364 0.426 0.608 Si
0.687 0.078 0.256 Si
```

Results
- Final energy: -3.71 eV/atom

---

An optimized crystal structure of Ho2Cd2Hg7, computed with GGA-PBE.

Cell and atoms, written as POSCAR:
```
Ho2Cd2Hg7
1.0
4.793 0.000 0.000
2.396 8.821 1.276
2.396 5.306 7.161
Ho Cd Hg
2 2 7
Direct
0.708 0.915 0.668 Ho
0.292 0.332 0.085 Ho
0.000 0.631 0.369 Cd
0.500 0.343 0.657 Cd
0.864 0.035 0.238 Hg
0.872 0.467 0.790 Hg
0.500 0.924 0.076 Hg
0.668 0.449 0.215 Hg
0.332 0.785 0.551 Hg
0.136 0.762 0.965 Hg
0.128 0.210 0.533 Hg
```

Results
- Final energy: -1.39 eV/atom

---

An optimized crystal structure of GeAsH3, computed with GGA-PBE.

Cell and atoms, written as POSCAR:
```
GeAsH3
1.0
-1.265 -3.495 -0.061
0.155 -0.121 3.712
-3.492 1.261 0.187
H As Ge
3 1 1
Direct
0.000 0.500 0.000 H
0.000 0.000 0.500 H
0.500 0.000 0.000 H
0.500 0.500 0.500 As
0.000 0.000 0.000 Ge
```

Results
- Final energy: -3.07 eV/atom

---

An optimized crystal structure of DyAgAu2, computed with GGA-PBE.

Cell and atoms, written as POSCAR:
```
DyAgAu2
1.0
-3.245 0.340 -1.468
-1.420 -1.858 2.708
-0.906 5.454 3.266
Au Ag Dy
2 1 1
Direct
0.000 0.000 0.765 Au
0.000 0.000 0.235 Au
0.500 0.500 0.000 Ag
0.500 0.500 0.500 Dy
```

Results
- Final energy: -4.05 eV/atom

---

An optimized crystal structure of Er6N5O, computed with GGA-PBE.

Cell and atoms, written as POSCAR:
```
Er6N5O
1.0
5.847 0.143 0.889
1.437 4.957 2.890
0.099 0.053 5.913
N O Er
5 1 6
Direct
0.500 0.167 0.666 N
0.000 0.333 0.333 N
0.500 0.500 0.000 N
0.000 0.667 0.667 N
0.500 0.833 0.334 N
0.000 0.000 0.000 O
0.748 0.084 0.339 Er
0.252 0.577 0.339 Er
0.255 0.254 0.000 Er
0.745 0.746 0.000 Er
0.748 0.423 0.661 Er
0.252 0.916 0.661 Er
```

Results
- Final energy: -8.20 eV/atom

---

An optimized crystal structure of ZnReAg, computed with GGA-PBE.

Cell and atoms, written as POSCAR:
```
ZnReAg
1.0
-5.207 -2.878 4.127
-6.136 -3.095 1.607
1.026 -2.338 0.860
Ag Re Zn
1 1 1
Direct
0.995 0.995 0.005 Ag
0.673 0.673 0.327 Re
0.331 0.331 0.669 Zn
```

Results
- Final energy: -5.19 eV/atom

---

An optimized crystal structure of La2Ga2Pd3, computed with GGA-PBE.

Cell and atoms, written as POSCAR:
```
La2Ga2Pd3
1.0
3.984 0.000 0.000
-1.992 5.531 -0.115
0.000 -2.683 6.748
La Ga Pd
2 2 3
Direct
0.873 0.746 0.234 La
0.127 0.254 0.766 La
0.845 0.690 0.775 Ga
0.155 0.310 0.225 Ga
0.500 0.000 0.000 Pd
0.625 0.249 0.434 Pd
0.375 0.751 0.566 Pd
```

Results
- Final energy: -5.30 eV/atom

---

An optimized crystal structure of Al2FeRh, computed with GGA-PBE.

Cell and atoms, written as POSCAR:
```
Al2FeRh
1.0
-3.026 0.288 3.792
1.938 -0.860 4.373
1.092 2.778 -3.835
Rh Fe Al
1 1 2
Direct
0.750 0.250 0.500 Rh
0.500 0.500 0.000 Fe
0.000 0.000 0.000 Al
0.250 0.750 0.500 Al
```

Results
- Final energy: -6.33 eV/atom

---

An optimized crystal structure of Tb3CuAg, computed with GGA-PBE.

Cell and atoms, written as POSCAR:
```
Tb3CuAg
1.0
-0.176 -4.900 -1.178
5.038 -0.238 0.236
-0.639 -4.711 8.893
Tb Cu Ag
6 2 2
Direct
0.758 0.250 0.133 Tb
0.390 0.250 0.868 Tb
0.574 0.250 0.500 Tb
0.258 0.750 0.132 Tb
0.891 0.750 0.867 Tb
0.074 0.750 0.500 Tb
0.483 0.750 0.682 Cu
0.165 0.250 0.318 Cu
0.665 0.750 0.318 Ag
0.983 0.250 0.682 Ag
```

Results
- Final energy: -4.36 eV/atom

---

An optimized crystal structure of CuH2Pt, computed with GGA-PBE.

Cell and atoms, written as POSCAR:
```
CuH2Pt
1.0
-2.961 -1.513 1.536
-2.635 -1.420 -2.111
-0.482 -3.628 -0.136
H Cu Pt
2 1 1
Direct
0.250 0.250 0.250 H
0.750 0.750 0.750 H
0.000 0.000 0.000 Cu
0.500 0.500 0.500 Pt
```

Results
- Final energy: -3.78 eV/atom

---

An optimized crystal structure of Pm8Rh3CI3, computed with GGA-PBE.

Cell and atoms, written as POSCAR:
```
Pm8Rh3CI3
1.0
-4.124 7.054 -0.659
-3.952 -6.881 2.073
5.400 3.778 6.605
Pm Rh C I
8 3 1 3
Direct
0.271 0.541 0.312 Pm
0.729 0.459 0.688 Pm
0.787 0.574 0.327 Pm
0.213 0.426 0.673 Pm
0.787 0.039 0.327 Pm
0.213 0.961 0.673 Pm
0.253 0.039 0.327 Pm
0.747 0.961 0.673 Pm
0.500 0.000 0.500 Rh
0.500 0.500 0.500 Rh
0.000 0.500 0.500 Rh
0.000 0.000 0.500 C
0.000 0.000 0.000 I
0.000 0.500 0.000 I
0.500 0.500 0.000 I
```

Results
- Final energy: -5.64 eV/atom

---

An optimized crystal structure of KCdIr3, computed with GGA-PBE.

Cell and atoms, written as POSCAR:
```
KCdIr3
1.0
5.040 0.000 0.000
0.000 5.040 0.000
0.000 0.000 5.040
K Ir Cd
1 3 1
Direct
0.500 0.500 0.500 K
0.000 0.500 0.000 Ir
0.000 0.000 0.500 Ir
0.500 0.000 0.000 Ir
0.000 0.000 0.000 Cd
```

Results
- Final energy: -3.75 eV/atom

---

An optimized crystal structure of SmZn2GaAu, computed with GGA-PBE.

Cell and atoms, written as POSCAR:
```
SmZn2GaAu
1.0
-3.617 -2.014 0.350
1.927 -3.046 2.396
-0.290 5.352 3.127
Sm Zn Ga Au
1 2 1 1
Direct
0.441 0.441 0.882 Sm
0.695 0.195 0.390 Zn
0.056 0.056 0.111 Zn
0.831 0.831 0.663 Ga
0.189 0.689 0.378 Au
```

Results
- Final energy: -3.20 eV/atom

---

An optimized crystal structure of DyHoAg2, computed with GGA-PBE.

Cell and atoms, written as POSCAR:
```
DyHoAg2
1.0
-3.124 1.790 3.658
-3.857 -2.911 1.732
0.198 -1.971 4.735
Ho Ag Dy
1 2 1
Direct
0.000 0.000 0.000 Ho
0.250 0.250 0.250 Ag
0.750 0.750 0.750 Ag
0.500 0.500 0.500 Dy
```

Results
- Final energy: -4.04 eV/atom